No. 1
Below is crystalline CdSeBr4 at its relaxed geometry, with properties calculated at the PBE level.

Computed properties:
Crystal system: cubic
Raw formation energy (eV/atom): 0.668

Cell: 8.867 8.867 8.867 Å, 90.00 90.00 90.00°
Space group F-43m (No. 216)
Unique sites:
Cd (0.000, 0.000, 0.000) [4 per cell]
Se (0.250, 0.250, 0.750) [4 per cell]
Br (0.125, 0.125, 0.375) [16 per cell]



No. 2
Below is crystalline KScGeI6 at its relaxed geometry, with properties calculated at the PBE level.

Computed properties:
Crystal system: trigonal
Raw formation energy (eV/atom): -0.982

Cell: 7.6689 7.6689 15.6257 Å, 90.00 90.00 120.00°
Space group P-31c (No. 163)
Unique sites:
K (0.0000, 0.0000, 0.0000) [2 per cell]
Sc (0.3333, 0.6667, 0.2500) [2 per cell]
Ge (0.3333, 0.6667, 0.7500) [2 per cell]
I (0.0110, 0.3743, 0.1419) [12 per cell]



No. 3
Below is crystalline ThGaTc2Ge2 at its relaxed geometry, with properties calculated at the PBE level.

Computed properties:
Energy (Ha/atom): -0.2481
Crystal system: tetragonal

Cell: 4.592 4.592 5.598 Å, 90.00 90.00 90.00°
Space group P4/mmm (No. 123)
Unique sites:
Th (0.000, 0.000, 0.000) [1 per cell]
Ga (0.000, 0.000, 0.500) [1 per cell]
Tc (0.000, 0.500, 0.500) [2 per cell]
Ge (0.500, 0.500, 0.240) [2 per cell]



No. 4
Below is crystalline K2VAu at its relaxed geometry, with properties calculated at the PBE level.

Computed properties:
Polymorph energy (0 for the lowest one) (meV per atom): 0
Crystal system: tetragonal

Cell: 11.976 11.976 5.167 Å, 90.00 90.00 90.00°
Space group I-42d (No. 122)
Unique sites:
K (0.097, 0.250, 0.125) [8 per cell]
V (0.000, 0.000, 0.500) [4 per cell]
Au (0.000, 0.000, 0.000) [4 per cell]



No. 5
Below is crystalline Zr4AlAu at its relaxed geometry, with properties calculated at the PBE level.

Computed properties:
Polymorph energy (0 for the lowest one) (meV per atom): 0
Crystal system: tetragonal

Cell: 4.663 4.663 6.551 Å, 90.00 90.00 90.00°
Space group P4/mmm (No. 123)
Unique sites:
Zr (0.000, 0.500, 0.246) [4 per cell]
Al (0.000, 0.000, 0.000) [1 per cell]
Au (0.500, 0.500, 0.500) [1 per cell]



| no. | Fermi-level density of states (states/eV per cell) |
| --- | --- |
| 1 | 25.33 |
| 2 | 0.00 |
| 3 | 3.75 |
| 4 | 24.42 |
| 5 | 7.88 |